# 1
This record from Alexandria describes a PBEsol-optimized structure of InSi4Br. The functional is meta-GGA SCAN.

Values from the calculation:
- DOS(E_F): 3.65 states/eV/f.u.
- Uncorrected formation energy: 15.919 kcal/mol of atoms

```
data_InSi4Br
_cell_length_a 7.604
_cell_length_b 7.604
_cell_length_c 7.604
_cell_angle_alpha 90.00
_cell_angle_beta 90.00
_cell_angle_gamma 90.00
_symmetry_space_group_name_H-M 'F -4 3 m'
_symmetry_Int_Tables_number 216
_symmetry_space_group_name_Hall 'F -4 2 3'
loop_
_atom_site_label
_atom_site_type_symbol
_atom_site_fract_x
_atom_site_fract_y
_atom_site_fract_z
In1 In 0.000 0.000 0.000
Si1 Si 0.125 0.125 0.625
Br1 Br 0.250 0.250 0.250
```

***

# 2
This record from Alexandria describes a PBEsol-optimized structure of Sr2Pd2I. The functional is meta-GGA SCAN.

Values from the calculation:
- DOS(E_F): 2.06 states/eV/f.u.
- Uncorrected formation energy: -14.905 kcal/mol of atoms

```
data_Sr2Pd2I
_cell_length_a 5.807
_cell_length_b 5.807
_cell_length_c 8.315
_cell_angle_alpha 90.00
_cell_angle_beta 90.00
_cell_angle_gamma 90.00
_symmetry_space_group_name_H-M 'I 4/m m m'
_symmetry_Int_Tables_number 139
_symmetry_space_group_name_Hall '-I 4 2'
loop_
_atom_site_label
_atom_site_type_symbol
_atom_site_fract_x
_atom_site_fract_y
_atom_site_fract_z
Sr1 Sr 0.000 0.500 0.250
Pd1 Pd 0.000 0.000 0.153
I1 I 0.000 0.000 0.500
```

***

# 3
This record from Alexandria describes a PBEsol-optimized structure of BaScGa3. The functional is meta-GGA SCAN.

Values from the calculation:
- DOS(E_F): 3.82 states/eV/f.u.
- Energy relative to the lowest polymorph listed for this composition: 0 meV per atom

```
data_BaScGa3
_cell_length_a 5.193
_cell_length_b 5.193
_cell_length_c 5.193
_cell_angle_alpha 90.00
_cell_angle_beta 90.00
_cell_angle_gamma 90.00
_symmetry_space_group_name_H-M 'P m -3 m'
_symmetry_Int_Tables_number 221
_symmetry_space_group_name_Hall '-P 4 2 3'
loop_
_atom_site_label
_atom_site_type_symbol
_atom_site_fract_x
_atom_site_fract_y
_atom_site_fract_z
Ba1 Ba 0.000 0.000 0.000
Sc1 Sc 0.500 0.500 0.500
Ga1 Ga 0.000 0.500 0.500
```

***

# 4
This record from Alexandria describes a PBEsol-optimized structure of AlTcRh. The functional is meta-GGA SCAN.

Values from the calculation:
- DOS(E_F): 3.37 states/eV/f.u.

```
data_AlTcRh
_cell_length_a 5.733
_cell_length_b 5.733
_cell_length_c 5.733
_cell_angle_alpha 90.00
_cell_angle_beta 90.00
_cell_angle_gamma 90.00
_symmetry_space_group_name_H-M 'F -4 3 m'
_symmetry_Int_Tables_number 216
_symmetry_space_group_name_Hall 'F -4 2 3'
loop_
_atom_site_label
_atom_site_type_symbol
_atom_site_fract_x
_atom_site_fract_y
_atom_site_fract_z
Al1 Al 0.000 0.000 0.000
Tc1 Tc 0.250 0.250 0.750
Rh1 Rh 0.250 0.250 0.250
```

***

# 5
This record from Alexandria describes a PBEsol-optimized structure of NiOs2. The functional is meta-GGA SCAN.

Values from the calculation:
- DOS(E_F): 2.28 states/eV/f.u.
- Energy relative to the lowest polymorph listed for this composition: 26 meV per atom

```
data_NiOs2
_cell_length_a 2.690
_cell_length_b 13.568
_cell_length_c 4.255
_cell_angle_alpha 90.00
_cell_angle_beta 90.00
_cell_angle_gamma 90.00
_symmetry_space_group_name_H-M 'C m c m'
_symmetry_Int_Tables_number 63
_symmetry_space_group_name_Hall '-C 2c 2'
loop_
_atom_site_label
_atom_site_type_symbol
_atom_site_fract_x
_atom_site_fract_y
_atom_site_fract_z
Ni1 Ni 0.000 0.224 0.250
Os1 Os 0.000 0.115 0.750
Os2 Os 0.000 0.442 0.750
```

***

# 6
This record from Alexandria describes a PBEsol-optimized structure of MgSbBr2. The functional is meta-GGA SCAN.

Values from the calculation:
- DOS(E_F): 1.29 states/eV/f.u.
- Uncorrected formation energy: -8.101 kcal/mol of atoms
- Energy relative to the lowest polymorph listed for this composition: 0 meV per atom

```
data_MgSbBr2
_cell_length_a 3.498
_cell_length_b 4.685
_cell_length_c 6.083
_cell_angle_alpha 90.00
_cell_angle_beta 90.00
_cell_angle_gamma 90.00
_symmetry_space_group_name_H-M 'P m m m'
_symmetry_Int_Tables_number 47
_symmetry_space_group_name_Hall '-P 2 2'
loop_
_atom_site_label
_atom_site_type_symbol
_atom_site_fract_x
_atom_site_fract_y
_atom_site_fract_z
Mg1 Mg 0.000 0.000 0.000
Sb1 Sb 0.500 0.000 0.500
Br1 Br 0.000 0.500 0.500
Br2 Br 0.500 0.500 0.000
```

***

| no. | E_tot (eV per atom) |
| --- | --- |
| 1 | -14.7945 |
| 2 | -30.0145 |
| 3 | -20.7185 |
| 4 | -25.3367 |
| 5 | -53.2047 |
| 6 | -20.6396 |